1.
Here is a relaxed TaCoPb4 crystal from Alexandria. Energies are from PBE.

Summary:
Space-group type   No. 216
Energy relative to the elements   1.300 eV/atom
Crystal system   cubic
Volume   168.14 Å³/cell

abc: 6.1953 6.1953 6.1953
angles: 60.00 60.00 60.00
Each line ends with the local moment (μB).
Element x y z (fractional)
1 Co 0.0000 0.0000 0.0000  2.06
2 Pb 0.3753 0.3753 0.8742  -0.01
3 Pb 0.8742 0.3753 0.3753  -0.01
4 Ta 0.7500 0.7500 0.7500  1.46
5 Pb 0.3753 0.3753 0.3753  -0.01
6 Pb 0.3753 0.8742 0.3753  -0.01

---

2.
Here is a relaxed HfTlTe2 crystal from Alexandria. Energies are from PBE.

Summary:
Space-group type   No. 62
Formation energy from raw total energies   -0.478 eV per atom
Crystal system   orthorhombic
Volume   597.08 Å³/cell

abc: 9.3123 3.9123 16.3884
angles: 90.00 90.00 90.00
Each line ends with the local moment (μB).
Element x y z (fractional)
1 Tl 0.8835 0.7500 0.3827  0.01
2 Te 0.2715 0.7500 0.4682  0.01
3 Hf 0.0098 0.7500 0.9200  0.44
4 Te 0.2285 0.2500 0.9682  0.01
5 Te 0.7715 0.7500 0.0318  0.01
6 Tl 0.1165 0.2500 0.6173  0.01
7 Hf 0.4902 0.2500 0.4200  0.44
8 Te 0.5711 0.7500 0.3005  0.01
9 Hf 0.9902 0.2500 0.0800  0.44
10 Tl 0.3835 0.7500 0.1173  0.01
11 Te 0.9289 0.2500 0.8005  0.01
12 Te 0.7285 0.2500 0.5318  0.01
13 Hf 0.5098 0.7500 0.5800  0.44
14 Tl 0.6165 0.2500 0.8827  0.01
15 Te 0.4289 0.2500 0.6995  0.01
16 Te 0.0711 0.7500 0.1995  0.01

---

3.
Here is a relaxed Al3Cr crystal from Alexandria. Energies are from PBE.

Summary:
Space-group type   No. 47
Energy relative to the elements   -0.059 eV/atom
Crystal system   orthorhombic
Volume   59.81 Å³/cell

abc: 2.9793 3.7418 5.3651
angles: 90.00 90.00 90.00
Each line ends with the local moment (μB).
Element x y z (fractional)
1 Al 0.0000 0.0000 0.5000  -0.01
2 Al 0.5000 0.5000 0.7627  -0.03
3 Al 0.5000 0.5000 0.2373  -0.03
4 Cr 0.0000 0.0000 0.0000  2.02

---

4.
Here is a relaxed Ti2CuAsI crystal from Alexandria. Energies are from PBE.

Summary:
Space-group type   No. 123
Formation energy from raw total energies   0.486 eV per atom
Crystal system   tetragonal
Volume   108.58 Å³/cell

abc: 5.0525 4.2536 5.0525
angles: 90.00 90.00 90.00
Each line ends with the local moment (μB).
Element x y z (fractional)
1 I 0.5000 0.5000 0.5000  -0.05
2 Cu 0.0000 0.0000 0.0000  0.05
3 Ti 0.5000 0.0000 0.0000  1.10
4 As 0.0000 0.5000 0.0000  -0.07
5 Ti 0.0000 0.0000 0.5000  1.05

---

5.
Here is a relaxed Tl4In4Bi3 crystal from Alexandria. Energies are from PBE.

Summary:
Space-group type   No. 2
Energy relative to the elements   0.009 eV/atom
Crystal system   triclinic
Volume   334.68 Å³/cell

abc: 3.4845 5.1254 19.5100
angles: 96.37 104.66 90.84
Element x y z (fractional)
1 Bi 0.0000 0.0000 0.0000
2 In 0.8893 0.9080 0.8183
3 Tl 0.4463 0.4539 0.9064
4 Tl 0.1241 0.1800 0.3633
5 In 0.2825 0.2715 0.5416
6 Tl 0.8759 0.8201 0.6367
7 In 0.7176 0.7285 0.4584
8 Tl 0.5536 0.5462 0.0936
9 Bi 0.4754 0.3616 0.7253
10 Bi 0.5246 0.6384 0.2747
11 In 0.1106 0.0920 0.1817

---

6.
Here is a relaxed RbNa2Sn crystal from Alexandria. Energies are from PBE.

Summary:
Space-group type   No. 122
Energy relative to the elements   0.079 eV/atom
Crystal system   tetragonal
Volume   345.00 Å³/cell

abc: 5.5590 5.5590 11.8362
angles: 76.42 76.42 90.00
Element x y z (fractional)
1 Na 0.8750 0.9843 0.7500
2 Rb 0.2500 0.7500 0.5000
3 Na 0.0157 0.6250 0.2500
4 Sn 0.0000 0.0000 0.0000
5 Sn 0.7500 0.2500 0.5000
6 Na 0.7343 0.1250 0.2500
7 Rb 0.5000 0.5000 0.0000
8 Na 0.3750 0.2657 0.7500

---

7.
Here is a relaxed Li2Cu2Pd crystal from Alexandria. Energies are from PBE.

Summary:
Space-group type   No. 127
Energy relative to the elements   -0.071 eV/atom
Crystal system   tetragonal
Volume   132.38 Å³/cell

abc: 6.8549 6.8549 2.8173
angles: 90.00 90.00 90.00
Element x y z (fractional)
1 Cu 0.3746 0.8746 0.0000
2 Li 0.3262 0.1738 0.5000
3 Li 0.1738 0.6738 0.5000
4 Pd 0.0000 0.0000 0.0000
5 Li 0.8262 0.3262 0.5000
6 Cu 0.8746 0.6254 0.0000
7 Cu 0.1254 0.3746 0.0000
8 Cu 0.6254 0.1254 0.0000
9 Pd 0.5000 0.5000 0.0000
10 Li 0.6738 0.8262 0.5000

---

8.
Here is a relaxed La2Tc2N7 crystal from Alexandria. Energies are from PBE.

Summary:
Space-group type   No. 12
Formation energy from raw total energies   -0.349 eV per atom
Crystal system   monoclinic
Volume   192.93 Å³/cell

abc: 6.3207 5.0980 6.3207
angles: 97.46 75.75 82.54
Each line ends with the local moment (μB).
Element x y z (fractional)
1 Tc 0.7798 0.9087 0.2202  -0.08
2 N 0.9044 0.7190 0.3919  0.09
3 N 0.0000 0.0000 0.0000  0.13
4 La 0.2991 0.5000 0.2991  0.01
5 N 0.6081 0.7190 0.0956  0.09
6 N 0.0956 0.2810 0.6081  0.09
7 N 0.6182 0.2198 0.3818  0.19
8 La 0.7009 0.5000 0.7009  0.01
9 Tc 0.2202 0.0913 0.7798  -0.08
10 N 0.3818 0.7802 0.6182  0.19
11 N 0.3919 0.2810 0.9044  0.09